#i
Here is crystalline CrTc3O at its relaxed geometry from Alexandria via LeMat-Bulk. Energies are from GGA+U.

## Properties
Its space group is No. 221. Its crystal system is cubic.

Cell: 4.019 4.019 4.019 Å, 90.00 90.00 90.00°
Element x y z (fractional)
Cr 0.500 0.500 0.500
Tc 0.000 0.500 0.000
Tc 0.000 0.000 0.500
Tc 0.500 0.000 0.000
O 0.000 0.000 0.000



#ii
Here is crystalline CrTc3O at its relaxed geometry from Alexandria via LeMat-Bulk. Energies are from GGA+U.

## Properties
Its space group is No. 221. Its crystal system is cubic.

Cell: 4.451 4.451 4.451 Å, 90.00 90.00 90.00°
Element x y z (fractional)
Cr 0.000 0.000 0.000
Tc 0.000 0.500 0.000
Tc 0.000 0.000 0.500
Tc 0.500 0.000 0.000
O 0.500 0.500 0.500



Tell me which of them is the least stable. Sure, it is #ii.